Below is crystalline BaZr2Au2 at its relaxed geometry, with properties calculated at the PBE-GGA level.

abc: 8.6142 8.6142 3.2834
angles: 90.00 90.00 90.00
Element x y z (fractional)
Ba: 0.0000 0.0000 0.0000
Ba: 0.5000 0.5000 0.0000
Zr: 0.1611 0.3389 0.5000
Zr: 0.3389 0.8389 0.5000
Zr: 0.6611 0.1611 0.5000
Zr: 0.8389 0.6611 0.5000
Au: 0.1254 0.6254 0.0000
Au: 0.3746 0.1254 0.0000
Au: 0.6254 0.8746 0.0000
Au: 0.8746 0.3746 0.0000

Properties
Fermi-level density of states = 1.598 states/eV/atom
space group = P4/mbm (127)
energy above the most stable polymorph in this dataset = 144 meV per atom